[1]
! CaTb6Sm8, optimized geometry, DFT PBE-GGA; values from VASP
&SYSTEM
  ibrav = 0, nat = 15, ntyp = 3
/
ATOMIC_SPECIES
Tb 158.93 Tb.upf
Sm 150.36 Sm.upf
Ca 40.08 Ca.upf
CELL_PARAMETERS angstrom
7.7320 -0.3078 2.8913
1.9005 7.5011 2.8913
-0.4122 -0.3078 8.2446
ATOMIC_POSITIONS angstrom
Tb 4.7540 2.4352 9.5424
Sm 7.0263 5.2470 10.6894
Tb 1.9218 3.0188 6.8602
Ca 0.0000 0.0000 0.0000
Tb 4.9333 0.9855 5.8788
Tb 4.2871 5.9001 8.1485
Tb 4.4664 4.4504 4.4849
Sm 2.1941 1.6385 3.3379
Sm 7.3390 0.5471 8.2549
Sm 6.5434 6.8815 5.6685
Sm 1.8814 6.3384 5.7724
Sm 1.8500 4.3199 10.0109
Sm 2.6769 0.0040 8.3588
Sm 7.3704 2.5656 4.0164
Tb 7.2985 3.8668 7.1671
! Total magnetic moment: 0.00 μB/f.u.
! DFT formation energy: 0.18 eV per atom
! DFT total energy: -4.3268 eV per atom
! Space group: R-3 (148)



[2]
! CaTb5Sm6, optimized geometry, DFT PBE-GGA; values from VASP
&SYSTEM
  ibrav = 0, nat = 12, ntyp = 3
/
ATOMIC_SPECIES
Sm 150.36 Sm.upf
Tb 158.93 Tb.upf
Ca 40.08 Ca.upf
CELL_PARAMETERS angstrom
-1.9113 -0.5267 -5.9439
-5.6826 -4.6691 3.3477
-4.8467 6.1072 2.1239
ATOMIC_POSITIONS angstrom
Sm -4.0719 -0.0277 -3.0256
Sm -9.4271 -1.1542 -0.1510
Tb -5.9454 3.9991 -0.6385
Ca 0.0000 0.0000 0.0000
Sm -3.2980 -1.6016 0.0952
Sm -8.3687 0.9391 2.5533
Tb -5.3995 -1.0194 2.9332
Tb -5.1298 2.4575 2.5384
Sm -3.0135 2.0656 -0.3213
Tb -6.4952 -3.0877 0.1662
Sm -9.1426 2.5130 -0.5675
Tb -6.2203 0.4557 -0.2361
! Total magnetic moment: 0.00 μB/f.u.
! DFT formation energy: 0.04 eV per atom
! DFT total energy: -4.4203 eV per atom
! Space group: C2/m (12)



[3]
! CaTb6Sm3, optimized geometry, DFT PBE-GGA; values from VASP
&SYSTEM
  ibrav = 0, nat = 10, ntyp = 3
/
ATOMIC_SPECIES
Ca 40.08 Ca.upf
Tb 158.93 Tb.upf
Sm 150.36 Sm.upf
CELL_PARAMETERS angstrom
-6.6301 0.3334 0.5911
0.2544 -6.8686 6.7279
3.6464 8.7700 -1.6195
ATOMIC_POSITIONS angstrom
Ca -3.1878 -3.2676 3.6595
Tb -4.7306 -0.2662 3.7617
Tb 2.0014 2.5010 1.9379
Tb -1.3602 -0.4357 3.4612
Tb -1.3690 2.6705 2.2384
Sm 0.0000 0.0000 0.0000
Sm -3.0301 -5.1214 6.4742
Tb 0.3112 -3.3827 5.3978
Tb -3.0404 5.6175 0.3017
Sm 0.3009 7.3562 -0.7746
! Total magnetic moment: 0.00 μB/f.u.
! DFT formation energy: 0.25 eV per atom
! DFT total energy: -4.1448 eV per atom
! Space group: C2/m (12)



[4]
! Ca2TbSm, optimized geometry, DFT PBE-GGA; values from VASP
&SYSTEM
  ibrav = 0, nat = 4, ntyp = 3
/
ATOMIC_SPECIES
Ca 40.08 Ca.upf
Tb 158.93 Tb.upf
Sm 150.36 Sm.upf
CELL_PARAMETERS angstrom
-3.4518 -1.0110 -0.7993
-1.9124 -2.0649 2.3780
-6.0327 9.1683 5.9642
ATOMIC_POSITIONS angstrom
Ca -2.8625 1.5551 1.9028
Tb -5.6955 3.0392 3.7677
Sm -3.5781 -2.0458 1.0551
Ca -4.9591 6.5901 4.5888
! Total magnetic moment: 0.45 μB/f.u.
! DFT formation energy: 0.12 eV per atom
! DFT total energy: -3.2211 eV per atom
! ΔE to the lowest computed polymorph: 0.069 eV/atom
! Space group: R3m (160)



[5]
! CaTb2Sm5, optimized geometry, DFT PBE-GGA; values from VASP
&SYSTEM
  ibrav = 0, nat = 8, ntyp = 3
/
ATOMIC_SPECIES
Sm 150.36 Sm.upf
Ca 40.08 Ca.upf
Tb 158.93 Tb.upf
CELL_PARAMETERS angstrom
-0.7473 -2.7961 -2.2020
2.1967 6.5438 -9.0547
5.6703 -3.7418 5.8299
ATOMIC_POSITIONS angstrom
Sm 1.9491 -0.1072 -3.5284
Ca 0.0000 0.0000 0.0000
Sm 4.1781 -2.8438 2.1931
Tb 4.3904 2.3103 -4.4236
Sm 5.1707 0.1132 -1.8984
Tb 2.7294 -2.3044 -1.0032
Sm 1.0984 3.2719 -4.5274
Sm 2.9418 2.8497 -7.6199
! Total magnetic moment: 0.00 μB/f.u.
! DFT formation energy: 0.05 eV per atom
! DFT total energy: -4.3103 eV per atom
! Space group: Immm (71)



[6]
! Ca2TbSm4, optimized geometry, DFT PBE-GGA; values from VASP
&SYSTEM
  ibrav = 0, nat = 7, ntyp = 3
/
ATOMIC_SPECIES
Sm 150.36 Sm.upf
Tb 158.93 Tb.upf
Ca 40.08 Ca.upf
CELL_PARAMETERS angstrom
5.7075 0.0000 0.0000
0.0000 5.7075 0.0000
-2.8538 -2.8538 8.9391
ATOMIC_POSITIONS angstrom
Sm 2.8538 0.0000 0.0000
Tb 0.0000 0.0000 0.0000
Sm 2.8538 2.8538 5.8644
Sm 0.0000 2.8538 0.0000
Ca 2.8538 2.8538 2.2780
Sm 0.0000 0.0000 3.0747
Ca 0.0000 0.0000 6.6611
! Total magnetic moment: 0.70 μB/f.u.
! DFT formation energy: 0.60 eV per atom
! DFT total energy: -3.3279 eV per atom
! ΔE to the lowest computed polymorph: 0.469 eV/atom
! Space group: I4/mmm (139)



[7]
! CaTb4Sm7, optimized geometry, DFT PBE-GGA; values from VASP
&SYSTEM
  ibrav = 0, nat = 12, ntyp = 3
/
ATOMIC_SPECIES
Sm 150.36 Sm.upf
Ca 40.08 Ca.upf
Tb 158.93 Tb.upf
CELL_PARAMETERS angstrom
6.4688 -1.9151 2.7930
0.7531 5.8519 2.2648
2.7825 -2.3553 10.9973
ATOMIC_POSITIONS angstrom
Sm 2.5917 -0.0679 8.1579
Sm 5.3829 -0.7441 6.0989
Sm 4.8232 0.0720 12.8461
Ca 0.0000 0.0000 0.0000
Tb 5.8830 -1.0435 9.5866
Sm 4.6215 2.3256 9.9561
Tb 4.1215 2.6250 6.4685
Sm 5.1813 1.5095 3.2090
Sm 7.4127 1.6494 7.8972
Tb 2.1784 0.1833 4.6193
Sm 3.2344 -0.9575 1.3965
Tb 7.8260 1.3982 11.4358
! Total magnetic moment: 0.00 μB/f.u.
! DFT formation energy: 0.03 eV per atom
! DFT total energy: -4.4374 eV per atom
! Space group: P-1 (2)



[8]
! Ca2TbSm4, optimized geometry, DFT PBE-GGA; values from VASP
&SYSTEM
  ibrav = 0, nat = 7, ntyp = 3
/
ATOMIC_SPECIES
Sm 150.36 Sm.upf
Tb 158.93 Tb.upf
Ca 40.08 Ca.upf
CELL_PARAMETERS angstrom
-1.8853 2.2749 -2.0033
3.6590 -0.9522 -4.5248
-7.7496 -9.5795 -0.4047
ATOMIC_POSITIONS angstrom
Sm -3.2577 -7.0857 -4.9805
Sm -2.7182 -1.1711 -1.9523
Tb 0.0000 0.0000 0.0000
Sm -6.7097 -6.3553 -4.0829
Sm 0.7338 -1.9015 -2.8499
Ca -2.1436 -3.2772 -4.8847
Ca -3.8324 -4.9796 -2.0481
! Total magnetic moment: 0.00 μB/f.u.
! DFT formation energy: 0.13 eV per atom
! DFT total energy: -3.7969 eV per atom
! ΔE to the lowest computed polymorph: 0.000 eV/atom
! Space group: Immm (71)